KCaBe2Bi | Alexandria | SCAN | PBEsol geometry; calculated formation energy = 1.371 eV/atom; symmetry = P4/mmm, No. 123; total magnetic moment = 0.00 μB per formula unit
1.0
-0.090 -3.840 3.427
2.326 -3.088 -3.399
4.949 1.605 1.928
K Be Ca Bi
1 2 1 1
Direct
0.000 0.000 0.500
0.000 0.500 0.000
0.500 0.000 0.000
0.000 0.000 0.000
0.500 0.500 0.500


CdTcRh2 | Alexandria | SCAN | PBEsol geometry; calculated formation energy = -0.144 eV/atom; symmetry = P4/mmm, No. 123; total magnetic moment = 0.00 μB per formula unit
1.0
-0.336 -2.605 0.886
2.585 -0.606 -0.799
2.608 2.015 6.912
Rh Tc Cd
2 1 1
Direct
0.000 0.000 0.773
0.000 0.000 0.227
0.500 0.500 0.000
0.500 0.500 0.500